# 1
CoTcW2 | meta-GGA SCAN | PBEsol geometry

a = 3.1647 Å, b = 4.2226 Å, c = 4.9784 Å
α = 115.09°, β = 108.53°, γ = 90.00°
Fractional coordinates of all 4 atoms:
W: 0.9973 0.9973 0.9946
W: 0.2515 0.7515 0.5029
Co: 0.5080 0.5080 0.0161
Tc: 0.7432 0.2432 0.4865


# 2
CoTcW | meta-GGA SCAN | PBEsol geometry

a = 4.0874 Å, b = 4.0874 Å, c = 4.0874 Å
α = 60.00°, β = 60.00°, γ = 60.00°
Fractional coordinates of all 3 atoms:
Co: 0.5000 0.5000 0.5000
W: 0.0000 0.0000 0.0000
Tc: 0.2500 0.2500 0.2500


# 3
CoTcW2 | meta-GGA SCAN | PBEsol geometry

a = 2.6675 Å, b = 2.6675 Å, c = 8.1003 Å
α = 90.00°, β = 90.00°, γ = 105.41°
Fractional coordinates of all 4 atoms:
Tc: 0.5000 0.5000 0.0000
Co: 0.5000 0.5000 0.5000
W: 0.0000 0.0000 0.7325
W: 0.0000 0.0000 0.2675


| no. | DFT formation energy (kJ/mol of atoms) | mass density (kg/m³) | E above lowest polymorph (eV per atom) |
| --- | --- | --- | --- |
| 1 | 13.9 | 15441 | 0.000 |
| 2 | 86.6 | 11719 | 0.798 |
| 3 | 17.9 | 15678 | 0.041 |